Entry from Alexandria: an optimized crystal structure of CrCdF2 (PBE with a Hubbard U).

SG: Fm-3m, No. 225
Total magnetization in μB per atom: 1.22
Raw total energy in eV/atom: -4.23
D(E_F) in states/eV/f.u.: 1.41
Distance to the lowest polymorph of the same formula in meV/atom: 427

a b c (Å): 4.369 4.369 4.369
angles (deg): 60.00 60.00 60.00
Atoms (fractional coordinates):
Cr 0.000 0.000 0.000
Cd 0.500 0.500 0.500
F 0.250 0.250 0.250
F 0.750 0.750 0.750